Entry 1:
! CoMoAsIr (PBE, relaxed); values from VASP
&SYSTEM
  ibrav = 0, nat = 4, ntyp = 4
/
ATOMIC_SPECIES
Mo 95.94 Mo.upf
As 74.92 As.upf
Ir 192.22 Ir.upf
Co 58.93 Co.upf
ATOMIC_POSITIONS crystal
Mo 0.2500 0.2500 0.2500
As 0.0000 0.0000 0.0000
Ir 0.5000 0.5000 0.5000
Co 0.7500 0.7500 0.7500
CELL_PARAMETERS angstrom
0.0000 3.0475 3.0475
3.0475 0.0000 3.0475
3.0475 3.0475 0.0000
! space group	F-43m, No. 216
! distance to the lowest polymorph of the same formula	0.000	eV per atom
! calculated total energy	-7.726	eV per atom

***

Entry 2:
! NbCoAsIr (PBE, relaxed); values from VASP
&SYSTEM
  ibrav = 0, nat = 4, ntyp = 4
/
ATOMIC_SPECIES
Ir 192.22 Ir.upf
Nb 92.91 Nb.upf
As 74.92 As.upf
Co 58.93 Co.upf
ATOMIC_POSITIONS crystal
Ir 0.2500 0.2500 0.2500
Nb 0.5000 0.5000 0.5000
As 0.0000 0.0000 0.0000
Co 0.7500 0.7500 0.7500
CELL_PARAMETERS angstrom
0.0000 3.1233 3.1233
3.1233 0.0000 3.1233
3.1233 3.1233 0.0000
! space group	F-43m, No. 216
! distance to the lowest polymorph of the same formula	0.068	eV per atom
! calculated total energy	-7.608	eV per atom

***

Entry 3:
! NbCoAsIr (PBE, relaxed); values from VASP
&SYSTEM
  ibrav = 0, nat = 4, ntyp = 4
/
ATOMIC_SPECIES
As 74.92 As.upf
Nb 92.91 Nb.upf
Ir 192.22 Ir.upf
Co 58.93 Co.upf
ATOMIC_POSITIONS crystal
As 0.0000 0.0000 0.0000
Nb 0.2500 0.2500 0.2500
Ir 0.5000 0.5000 0.5000
Co 0.7500 0.7500 0.7500
CELL_PARAMETERS angstrom
0.0000 3.1035 3.1035
3.1035 0.0000 3.1035
3.1035 3.1035 0.0000
! space group	F-43m, No. 216
! distance to the lowest polymorph of the same formula	0.000	eV per atom
! calculated total energy	-7.676	eV per atom

***

- calculated total energy of number 3 (NbCoAsIr)?
  -7.676 eV per atom